This record from Alexandria describes crystalline Mn2Ag2Pt at its relaxed geometry. The functional is PBE-GGA.

energy relative to the lowest polymorph listed for this composition: 0.000 eV per atom
ΔE_f: 29.2 kJ per mole of atoms
calculated total energy: -5.7142 eV/atom
mass density: 10.35 g cm⁻³

The structure in CIF format:
```
data_Mn2Ag2Pt
_cell_length_a 7.444
_cell_length_b 7.444
_cell_length_c 3.016
_cell_angle_alpha 90.00
_cell_angle_beta 90.00
_cell_angle_gamma 90.00
_symmetry_space_group_name_H-M 'P 4/m b m'
_symmetry_Int_Tables_number 127
_symmetry_space_group_name_Hall '-P 4 2ab'
loop_
_atom_site_label
_atom_site_type_symbol
_atom_site_fract_x
_atom_site_fract_y
_atom_site_fract_z
Mn1 Mn 0.172 0.328 0.000
Ag1 Ag 0.129 0.629 0.500
Pt1 Pt 0.000 0.000 0.500
```